TeMoN2F PBE+U relaxed; energy = -4.875 eV/atom; ρ = 6.006 g/cm3; symmetry = P4/mmm (123); total magnetic moment = 0.73 μB/atom
1.0
4.207 0.000 0.000
0.000 4.207 0.000
0.000 0.000 4.225
Te Mo N F
1 1 2 1
direct
0.000 0.000 0.000
0.500 0.500 0.500
0.000 0.500 0.000
0.500 0.000 0.000
0.000 0.000 0.500